[1]
First-principles (PBE) data for a geometry-optimized SmGaS2 structure, as listed in the Alexandria database.

## Properties
Calculated volume in Å³/cell: 101
DFT total energy in eV per formula unit: -21.35
Formation energy (no corrections) in eV per formula unit: -5.35

Lattice parameters (Å, degrees): 4.0711 4.0711 7.4195 74.08 74.08 60.00
Atoms (fractional coordinates):
Ga (0.5000, 0.5000, 0.5000)
S (0.7403, 0.7403, 0.7792)
S (0.2597, 0.2597, 0.2208)
Sm (0.0000, 0.0000, 0.0000)

***

[2]
First-principles (PBE) data for a geometry-optimized Sm6GaS4 structure, as listed in the Alexandria database.

## Properties
Calculated volume in Å³/cell: 546
DFT total energy in eV per formula unit: -65.41
Formation energy (no corrections) in eV per formula unit: -17.56

Lattice parameters (Å, degrees): 3.9933 6.9758 20.4581 90.00 90.00 106.63
Atoms (fractional coordinates):
Sm (0.7728, 0.5456, 0.0828)
Sm (0.3317, 0.6634, 0.2500)
Sm (0.2272, 0.4544, 0.9172)
Sm (0.5000, 0.0000, 0.5000)
Sm (0.7728, 0.5456, 0.4172)
Sm (0.9547, 0.9094, 0.8380)
Sm (0.0453, 0.0906, 0.1620)
Sm (0.9547, 0.9094, 0.6620)
Sm (0.0453, 0.0906, 0.3380)
Sm (0.2272, 0.4544, 0.5828)
Sm (0.5000, 0.0000, 0.0000)
Sm (0.6683, 0.3366, 0.7500)
Ga (0.3364, 0.6729, 0.7500)
Ga (0.6636, 0.3271, 0.2500)
S (0.1370, 0.2741, 0.4593)
S (0.8630, 0.7259, 0.5407)
S (0.5916, 0.1833, 0.6240)
S (0.4084, 0.8167, 0.1240)
S (0.1370, 0.2741, 0.0407)
S (0.4084, 0.8167, 0.3760)
S (0.8630, 0.7259, 0.9593)
S (0.5916, 0.1833, 0.8760)

***

[3]
First-principles (PBE) data for a geometry-optimized SmGaS3 structure, as listed in the Alexandria database.

## Properties
Calculated volume in Å³/cell: 224
Distance to the lowest polymorph of the same formula in kJ/mol of formula units: 18
DFT total energy in eV per formula unit: -26.67
Formation energy (no corrections) in eV per formula unit: -6.54

Lattice parameters (Å, degrees): 4.1661 7.5481 7.5483 70.46 89.20 89.20
Atoms (fractional coordinates):
S (0.4882, 0.3504, 0.7893)
S (0.9922, 0.0044, 0.0521)
S (0.9923, 0.6131, 0.4433)
S (0.9965, 0.5540, 0.9928)
S (0.4926, 0.2913, 0.3389)
S (0.4926, 0.9000, 0.7303)
Sm (0.9866, 0.1875, 0.6264)
Sm (0.4983, 0.7169, 0.1558)
Ga (0.7419, 0.6434, 0.6998)
Ga (0.7422, 0.2610, 0.0823)

***

[4]
First-principles (PBE) data for a geometry-optimized Sm2GaS4 structure, as listed in the Alexandria database.

## Properties
Calculated volume in Å³/cell: 317
DFT total energy in eV per formula unit: -39.00
Formation energy (no corrections) in eV per formula unit: -10.03

Lattice parameters (Å, degrees): 6.6499 6.5592 7.5680 90.00 106.49 90.00
Atoms (fractional coordinates):
Ga (0.7514, 0.2500, 0.8129)
Ga (0.2486, 0.7500, 0.1871)
S (0.5013, 0.5060, 0.7479)
S (0.4987, 0.4940, 0.2521)
S (0.5013, 0.9940, 0.7479)
S (0.9411, 0.2500, 0.6088)
S (0.9439, 0.2500, 0.1120)
S (0.0561, 0.7500, 0.8880)
S (0.4987, 0.0060, 0.2521)
S (0.0589, 0.7500, 0.3912)
Sm (0.7201, 0.7500, 0.0571)
Sm (0.7270, 0.7500, 0.5539)
Sm (0.2799, 0.2500, 0.9429)
Sm (0.2730, 0.2500, 0.4461)

***

[5]
First-principles (PBE) data for a geometry-optimized SmGaS3 structure, as listed in the Alexandria database.

## Properties
Calculated volume in Å³/cell: 481
Distance to the lowest polymorph of the same formula in kJ/mol of formula units: 0
DFT total energy in eV per formula unit: -26.85
Formation energy (no corrections) in eV per formula unit: -6.72

Lattice parameters (Å, degrees): 6.9956 8.5231 8.5231 80.84 77.63 77.63
Atoms (fractional coordinates):
S (0.4934, 0.4169, 0.3343)
S (0.1514, 0.9975, 0.7806)
S (0.3952, 0.9063, 0.3678)
S (0.3486, 0.2194, 0.0025)
S (0.6048, 0.0937, 0.6322)
S (0.1048, 0.6322, 0.0937)
S (0.9934, 0.3343, 0.4169)
S (0.0066, 0.6657, 0.5831)
S (0.6514, 0.7806, 0.9975)
S (0.8952, 0.3678, 0.9063)
S (0.5066, 0.5831, 0.6657)
S (0.8486, 0.0025, 0.2194)
Sm (0.2500, 0.3261, 0.6739)
Sm (0.7500, 0.0980, 0.9020)
Sm (0.7500, 0.6739, 0.3261)
Sm (0.2500, 0.9020, 0.0980)
Ga (0.7516, 0.6116, 0.8012)
Ga (0.2484, 0.3884, 0.1988)
Ga (0.2516, 0.8012, 0.6116)
Ga (0.7484, 0.1988, 0.3884)

***

[6]
First-principles (PBE) data for a geometry-optimized Sm5GaS4 structure, as listed in the Alexandria database.

## Properties
Calculated volume in Å³/cell: 238
DFT total energy in eV per formula unit: -60.68
Formation energy (no corrections) in eV per formula unit: -17.55

Lattice parameters (Å, degrees): 5.7308 7.0483 7.0483 80.49 66.01 66.01
Atoms (fractional coordinates):
Sm (0.3040, 0.7973, 0.5966)
Sm (0.1013, 0.5966, 0.2027)
Sm (0.5011, 0.0000, 0.0000)
Sm (0.9007, 0.4034, 0.7973)
Sm (0.6980, 0.2027, 0.4034)
S (0.2001, 0.1998, 0.4020)
S (0.4000, 0.4020, 0.8002)
S (0.8019, 0.8002, 0.5980)
S (0.6021, 0.5980, 0.1998)
Ga (0.0012, 0.0000, 0.0000)

***

[7]
First-principles (PBE) data for a geometry-optimized Sm3GaS2 structure, as listed in the Alexandria database.

## Properties
Calculated volume in Å³/cell: 146
DFT total energy in eV per formula unit: -34.80
Formation energy (no corrections) in eV per formula unit: -9.36

Lattice parameters (Å, degrees): 4.0009 5.7957 7.2008 113.61 106.12 90.00
Atoms (fractional coordinates):
Ga (0.5000, 0.0000, 0.0000)
Sm (0.8256, 0.8257, 0.6513)
Sm (0.1744, 0.1743, 0.3487)
Sm (0.5000, 0.5000, 0.0000)
S (0.8342, 0.3345, 0.6690)
S (0.1658, 0.6655, 0.3310)

***

[8]
First-principles (PBE) data for a geometry-optimized Sm2Ga2S7 structure, as listed in the Alexandria database.

## Properties
Calculated volume in Å³/cell: 296
DFT total energy in eV per formula unit: -56.10
Formation energy (no corrections) in eV per formula unit: -11.72

Lattice parameters (Å, degrees): 6.5960 7.2195 7.2195 111.31 102.49 102.49
Atoms (fractional coordinates):
Ga (0.1391, 0.7652, 0.7652)
Ga (0.8609, 0.2348, 0.2348)
S (0.0000, 0.0000, 0.0000)
S (0.2783, 0.5658, 0.8934)
S (0.2367, 0.3198, 0.3198)
S (0.2783, 0.8934, 0.5658)
S (0.7217, 0.4342, 0.1066)
S (0.7633, 0.6802, 0.6802)
S (0.7217, 0.1066, 0.4342)
Sm (0.5000, 0.6888, 0.3112)
Sm (0.5000, 0.3112, 0.6888)

***

[9]
First-principles (PBE) data for a geometry-optimized SmGaS structure, as listed in the Alexandria database.

## Properties
Calculated volume in Å³/cell: 146
DFT total energy in eV per formula unit: -15.51
Formation energy (no corrections) in eV per formula unit: -3.64

Lattice parameters (Å, degrees): 4.4078 4.4078 9.0177 75.85 75.85 60.00
Atoms (fractional coordinates):
Sm (0.5916, 0.5916, 0.2253)
Sm (0.4084, 0.4084, 0.7747)
Ga (0.8398, 0.8398, 0.4805)
Ga (0.1602, 0.1602, 0.5195)
S (0.7057, 0.7057, 0.8830)
S (0.2943, 0.2943, 0.1170)

***

[10]
First-principles (PBE) data for a geometry-optimized Sr2SmGaS5 structure, as listed in the Alexandria database.

## Properties
Calculated volume in Å³/cell: 448
DFT total energy in eV per formula unit: -47.29
Formation energy (no corrections) in eV per formula unit: -15.54

Lattice parameters (Å, degrees): 3.9864 9.2934 12.3749 90.00 90.00 102.38
Atoms (fractional coordinates):
Sr (0.1225, 0.2451, 0.3249)
Sr (0.8775, 0.7549, 0.8249)
Sr (0.1148, 0.2297, 0.6820)
Sr (0.8852, 0.7703, 0.1820)
S (0.4976, 0.9953, 0.7715)
S (0.7058, 0.4116, 0.1788)
S (0.6784, 0.3567, 0.8679)
S (0.9570, 0.9140, 0.5349)
S (0.5024, 0.0047, 0.2715)
S (0.3216, 0.6433, 0.3679)
S (0.3556, 0.7112, 0.0064)
S (0.2942, 0.5884, 0.6788)
S (0.6444, 0.2888, 0.5064)
S (0.0430, 0.0860, 0.0349)
Ga (0.5559, 0.1117, 0.9308)
Ga (0.4441, 0.8883, 0.4308)
Sm (0.2078, 0.4155, 0.0267)
Sm (0.7922, 0.5845, 0.5267)

***

[11]
First-principles (PBE) data for a geometry-optimized SrSmGaS4 structure, as listed in the Alexandria database.

## Properties
Calculated volume in Å³/cell: 343
DFT total energy in eV per formula unit: -37.00
Formation energy (no corrections) in eV per formula unit: -11.06

Lattice parameters (Å, degrees): 6.6030 6.6933 8.1133 90.00 107.15 90.00
Atoms (fractional coordinates):
Sm (0.2229, 0.2500, 0.5550)
Sm (0.7771, 0.7500, 0.4450)
S (0.9988, 0.4939, 0.2654)
S (0.5572, 0.2500, 0.4062)
S (0.5619, 0.2500, 0.8659)
S (0.0012, 0.9939, 0.7346)
S (0.0012, 0.5061, 0.7346)
S (0.9988, 0.0061, 0.2654)
S (0.4381, 0.7500, 0.1341)
S (0.4428, 0.7500, 0.5938)
Sr (0.7477, 0.7500, 0.9380)
Sr (0.2523, 0.2500, 0.0620)
Ga (0.7616, 0.2500, 0.6836)
Ga (0.2384, 0.7500, 0.3164)

***

[12]
First-principles (PBE) data for a geometry-optimized Sm3Tl3GaS8 structure, as listed in the Alexandria database.

## Properties
Calculated volume in Å³/cell: 414
DFT total energy in eV per formula unit: -74.78
Formation energy (no corrections) in eV per formula unit: -17.48

Lattice parameters (Å, degrees): 8.0680 8.0673 8.6954 117.57 90.05 120.00
Atoms (fractional coordinates):
S (0.7602, 0.9767, 0.6934)
S (0.7835, 0.5673, 0.3068)
S (0.7835, 0.0232, 0.3066)
S (0.2640, 0.5282, 0.2922)
S (0.2165, 0.4327, 0.6932)
S (0.2398, 0.0233, 0.3066)
S (0.2165, 0.9768, 0.6934)
S (0.7360, 0.4718, 0.7078)
Sm (0.0000, 0.5000, 0.5000)
Sm (0.5000, 0.0000, 0.5000)
Sm (0.5000, 0.5000, 0.5000)
Tl (0.0000, 0.0000, 0.0000)
Tl (0.5000, 0.5000, 0.0000)
Tl (0.0000, 0.5000, 0.0000)
Ga (0.0000, 0.0000, 0.5000)

***

[13]
First-principles (PBE) data for a geometry-optimized Sm3Tl4GaS8 structure, as listed in the Alexandria database.

## Properties
Calculated volume in Å³/cell: 423
DFT total energy in eV per formula unit: -78.29
Formation energy (no corrections) in eV per formula unit: -18.62

Lattice parameters (Å, degrees): 8.0687 8.8366 8.0694 117.18 120.00 90.00
Atoms (fractional coordinates):
Tl (0.0000, 0.0000, 0.0000)
Tl (0.5000, 0.0000, 0.5000)
Tl (0.0000, 0.0000, 0.5000)
Tl (0.5000, 0.0000, 0.0000)
S (0.7806, 0.3062, 0.0257)
S (0.7348, 0.7045, 0.4696)
S (0.2451, 0.3062, 0.0257)
S (0.2194, 0.6938, 0.9743)
S (0.2652, 0.2955, 0.5304)
S (0.7801, 0.3058, 0.5601)
S (0.2199, 0.6942, 0.4399)
S (0.7549, 0.6938, 0.9743)
Sm (0.0000, 0.5000, 0.5000)
Sm (0.5000, 0.5000, 0.0000)
Sm (0.5000, 0.5000, 0.5000)
Ga (0.0000, 0.5000, 0.0000)

***

[14]
First-principles (PBE) data for a geometry-optimized Ga2SnS structure, as listed in the Alexandria database.

## Properties
Calculated volume in Å³/cell: 85
Distance to the lowest polymorph of the same formula in kJ/mol of formula units: 140
DFT total energy in eV per formula unit: -13.62
Formation energy (no corrections) in eV per formula unit: 0.56

Lattice parameters (Å, degrees): 4.9297 4.9297 4.9297 60.00 60.00 60.00
Atoms (fractional coordinates):
S (0.0000, 0.0000, 0.0000)
Ga (0.7500, 0.7500, 0.7500)
Ga (0.2500, 0.2500, 0.2500)
Sn (0.5000, 0.5000, 0.5000)

***

[15]
First-principles (PBE) data for a geometry-optimized Ga2Sn2S structure, as listed in the Alexandria database.

## Properties
Calculated volume in Å³/cell: 229
Distance to the lowest polymorph of the same formula in kJ/mol of formula units: 38
DFT total energy in eV per formula unit: -17.62
Formation energy (no corrections) in eV per formula unit: 0.57

Lattice parameters (Å, degrees): 7.7243 7.7243 3.8374 90.00 90.00 90.00
Atoms (fractional coordinates):
Sn (0.1903, 0.6903, 0.5000)
Sn (0.3097, 0.1903, 0.5000)
Sn (0.8097, 0.3097, 0.5000)
Sn (0.6903, 0.8097, 0.5000)
Ga (0.6225, 0.1225, 0.0000)
Ga (0.1225, 0.3775, 0.0000)
Ga (0.3775, 0.8775, 0.0000)
Ga (0.8775, 0.6225, 0.0000)
S (0.5000, 0.5000, 0.0000)
S (0.0000, 0.0000, 0.0000)

***

[16]
First-principles (PBE) data for a geometry-optimized Ga2Sn2S7 structure, as listed in the Alexandria database.

## Properties
Calculated volume in Å³/cell: 273
DFT total energy in eV per formula unit: -45.71
Formation energy (no corrections) in eV per formula unit: -2.76

Lattice parameters (Å, degrees): 6.3374 6.8588 6.8588 112.97 93.41 93.41
Atoms (fractional coordinates):
S (0.2684, 0.9414, 0.5667)
S (0.7316, 0.4333, 0.0586)
S (0.7586, 0.5758, 0.5758)
S (0.0000, 0.0000, 0.0000)
S (0.2414, 0.4242, 0.4242)
S (0.7316, 0.0586, 0.4333)
S (0.2684, 0.5667, 0.9414)
Ga (0.8833, 0.2713, 0.2713)
Ga (0.1167, 0.7287, 0.7287)
Sn (0.5000, 0.6893, 0.3107)
Sn (0.5000, 0.3107, 0.6893)

***

[17]
First-principles (PBE) data for a geometry-optimized GaSn3S structure, as listed in the Alexandria database.

## Properties
Calculated volume in Å³/cell: 150
Distance to the lowest polymorph of the same formula in kJ/mol of formula units: 89
DFT total energy in eV per formula unit: -16.62
Formation energy (no corrections) in eV per formula unit: 2.54

Lattice parameters (Å, degrees): 5.3115 5.3115 5.3115 90.00 90.00 90.00
Atoms (fractional coordinates):
Ga (0.0000, 0.0000, 0.0000)
Sn (0.0000, 0.5000, 0.0000)
Sn (0.0000, 0.0000, 0.5000)
Sn (0.5000, 0.0000, 0.0000)
S (0.5000, 0.5000, 0.5000)

***

[18]
First-principles (PBE) data for a geometry-optimized Ga5Sn3S12 structure, as listed in the Alexandria database.

## Properties
Calculated volume in Å³/cell: 1735
DFT total energy in eV per formula unit: -84.47
Formation energy (no corrections) in eV per formula unit: -7.80

Lattice parameters (Å, degrees): 13.1114 13.1114 13.1114 109.47 109.47 109.47
Atoms (fractional coordinates):
S (0.5313, 0.2084, 0.1239)
S (0.5845, 0.8761, 0.4074)
S (0.6770, 0.4687, 0.5926)
S (0.9074, 0.8230, 0.5313)
S (0.1770, 0.0845, 0.7084)
S (0.7916, 0.4687, 0.3761)
S (0.9155, 0.0926, 0.6239)
S (0.8230, 0.9155, 0.2916)
S (0.4155, 0.2916, 0.3230)
S (0.6239, 0.0313, 0.2084)
S (0.1770, 0.0926, 0.9687)
S (0.0313, 0.4074, 0.8230)
S (0.5313, 0.3230, 0.9074)
S (0.8761, 0.2916, 0.4687)
S (0.3230, 0.7916, 0.4155)
S (0.4074, 0.3761, 0.5845)
S (0.0845, 0.9074, 0.3761)
S (0.4687, 0.6770, 0.0926)
S (0.7084, 0.5845, 0.1770)
S (0.9074, 0.0845, 0.8761)
S (0.3761, 0.4074, 0.0845)
S (0.4687, 0.7916, 0.8761)
S (0.9155, 0.8230, 0.7916)
S (0.1239, 0.7084, 0.5313)
S (0.5845, 0.7084, 0.6770)
S (0.3230, 0.5313, 0.4074)
S (0.3761, 0.9687, 0.7916)
S (0.2916, 0.4155, 0.8230)
S (0.0926, 0.9155, 0.1239)
S (0.0313, 0.6239, 0.7084)
S (0.2916, 0.8761, 0.9687)
S (0.5926, 0.9687, 0.6770)
S (0.0845, 0.1770, 0.2084)
S (0.8230, 0.9074, 0.0313)
S (0.7916, 0.3230, 0.9155)
S (0.9687, 0.3761, 0.2916)
S (0.2084, 0.5313, 0.6239)
S (0.5926, 0.6239, 0.4155)
S (0.2084, 0.6770, 0.0845)
S (0.8761, 0.5845, 0.9074)
S (0.4074, 0.0313, 0.3230)
S (0.6239, 0.5926, 0.9155)
S (0.9687, 0.5926, 0.1770)
S (0.7084, 0.1239, 0.0313)
S (0.0926, 0.1770, 0.4687)
S (0.1239, 0.4155, 0.0926)
S (0.4155, 0.1239, 0.5926)
S (0.6770, 0.2084, 0.5845)
Sn (0.3750, 0.6250, 0.2500)
Sn (0.1250, 0.2500, 0.8750)
Sn (0.8750, 0.1250, 0.2500)
Sn (0.2500, 0.6250, 0.8750)
Sn (0.7500, 0.8750, 0.6250)
Sn (0.7500, 0.3750, 0.1250)
Sn (0.2500, 0.1250, 0.3750)
Sn (0.3750, 0.7500, 0.6250)
Sn (0.6250, 0.3750, 0.7500)
Sn (0.6250, 0.2500, 0.3750)
Sn (0.8750, 0.7500, 0.1250)
Sn (0.1250, 0.8750, 0.7500)
Ga (0.5000, 0.5000, 0.5000)
Ga (0.0000, 0.5000, 0.5000)
Ga (0.8750, 0.2500, 0.6250)
Ga (0.2500, 0.8750, 0.1250)
Ga (0.1250, 0.3750, 0.2500)
Ga (0.0000, 0.5000, 0.0000)
Ga (0.6250, 0.8750, 0.2500)
Ga (0.5000, 0.0000, 0.5000)
Ga (0.1250, 0.7500, 0.3750)
Ga (0.0000, 0.0000, 0.5000)
Ga (0.7500, 0.6250, 0.3750)
Ga (0.5000, 0.0000, 0.0000)
Ga (0.0000, 0.0000, 0.0000)
Ga (0.5000, 0.5000, 0.0000)
Ga (0.7500, 0.1250, 0.8750)
Ga (0.2500, 0.3750, 0.6250)
Ga (0.3750, 0.2500, 0.1250)
Ga (0.6250, 0.7500, 0.8750)
Ga (0.8750, 0.6250, 0.7500)
Ga (0.3750, 0.1250, 0.7500)